VASP calculation (GGA-PBE) on AlTe2Au after structural relaxation.

a b c (Å): 6.0162 6.6325 7.1218
angles (deg): 90.00 90.09 89.99
Sites, in units of the cell vectors:
1 Te 0.5547 0.6212 0.6550
2 Te 0.0463 0.1212 0.6544
3 Te 0.0463 0.6212 0.2521
4 Te 0.5546 0.1211 0.2529
5 Al 0.3004 0.8712 0.4536
6 Al 0.3004 0.3712 0.4536
7 Au 0.3007 0.1212 0.9535
8 Au 0.3008 0.6217 0.9537

## Properties
VASP energy: -3.65 eV/atom
Total magnetization: 0.000 μB per atom
Formation energy (no corrections): -0.32 eV/atom